The following is a DFT calculation (meta-GGA SCAN) of SrCuW at its PBEsol-relaxed geometry.

Structure (CIF):
```
data_SrCuW
_chemical_formula_sum 'Sr4 Cu4 W4'
_symmetry_space_group_name_H-M 'F -4 3 m'
_symmetry_Int_Tables_number 216
_symmetry_space_group_name_Hall 'F -4 2 3'
_cell_length_a 6.818
_cell_length_b 6.818
_cell_length_c 6.818
_cell_angle_alpha 90.00
_cell_angle_beta 90.00
_cell_angle_gamma 90.00
loop_
_atom_site_label
_atom_site_fract_x
_atom_site_fract_y
_atom_site_fract_z
Sr1 0.000 0.000 0.000
Cu1 0.250 0.250 0.250
W1 0.250 0.250 0.750
```

V: 26.41 Å³/atom
E above lowest polymorph: 0.4643 eV per atom
density of states at the Fermi level: 13.91 states/eV per cell
E_form: 2385.1 meV per atom